Entry from the Alexandria database: a PBEsol-optimized structure of K2GeSe4 (meta-GGA SCAN).

```
K2GeSe4
1.0
11.883 0.000 0.000
0.000 8.050 0.000
-2.316 0.000 8.756
K Ge Se
8 4 16
Cartesian
0.053 0.597 1.937
-1.105 3.428 6.315
2.537 0.662 6.038
3.695 3.363 1.660
5.872 4.687 7.096
7.030 7.388 2.718
10.672 4.622 2.441
9.514 7.453 6.819
1.785 5.152 4.702
2.943 6.922 0.324
6.624 1.127 8.432
7.782 2.897 4.054
1.339 5.302 0.285
0.181 6.773 4.663
0.181 1.040 8.382
1.339 2.985 4.004
2.371 4.331 6.907
3.529 7.744 2.529
3.983 5.904 3.955
2.825 6.170 8.333
6.742 1.880 0.423
5.584 2.145 4.801
6.039 0.306 6.227
7.197 3.719 1.849
8.228 5.065 4.752
9.386 7.010 0.374
9.387 1.277 4.093
8.229 2.748 8.471
```

The raw formation energy comes out at -0.87 eV/atom. For the total magnetic moment, the calculation gives 0.00 μB per formula unit. The mass density comes out at 3.70 Mg/m³. The value obtained for the density of states at the Fermi level is 0.00 states/eV/cell. The volume is 29.91 Å³/atom. The calculated total energy is -17.45 eV per atom.

***

Entry from the Alexandria database: a PBEsol-optimized structure of KZnGe2Se (meta-GGA SCAN).

```
KZnGe2Se
1.0
4.723 0.000 0.000
0.000 4.723 0.000
0.000 0.000 5.660
K Zn Ge Se
1 1 2 1
Cartesian
0.000 0.000 0.000
0.000 0.000 2.830
0.000 2.362 2.830
2.362 0.000 2.830
2.362 2.362 0.000
```

The raw formation energy comes out at 0.29 eV/atom. For the total magnetic moment, the calculation gives 0.00 μB per formula unit. The mass density comes out at 4.32 Mg/m³. The value obtained for the density of states at the Fermi level is 2.13 states/eV/cell. The volume is 25.26 Å³/atom. The calculated total energy is -15.73 eV per atom.

***

Entry from the Alexandria database: a PBEsol-optimized structure of K2SiGe (meta-GGA SCAN).

```
K2SiGe
1.0
0.000 3.856 3.856
3.856 0.000 3.856
3.856 3.856 0.000
K Si Ge
2 1 1
Cartesian
1.928 1.928 1.928
5.784 5.784 5.784
0.000 0.000 0.000
3.856 3.856 3.856
```

The raw formation energy comes out at 0.52 eV/atom. For the total magnetic moment, the calculation gives 0.02 μB per formula unit. The mass density comes out at 2.59 Mg/m³. The volume is 28.66 Å³/atom. The calculated total energy is -10.92 eV per atom.

***

Entry from the Alexandria database: a PBEsol-optimized structure of KTa2SiGe (meta-GGA SCAN).

```
KTa2SiGe
1.0
4.798 0.000 0.000
0.000 4.798 0.000
0.000 0.000 5.217
K Ta Si Ge
1 2 1 1
Cartesian
0.000 0.000 0.000
0.000 2.399 2.608
2.399 0.000 2.608
2.399 2.399 0.000
0.000 0.000 2.608
```

The raw formation energy comes out at 1.56 eV/atom. For the total magnetic moment, the calculation gives 1.56 μB per formula unit. The mass density comes out at 6.94 Mg/m³. The value obtained for the density of states at the Fermi level is 4.13 states/eV/cell. The volume is 24.02 Å³/atom. The calculated total energy is -32.56 eV per atom.

***

Entry from the Alexandria database: a PBEsol-optimized structure of KSi2TcGe (meta-GGA SCAN).

```
KSi2TcGe
1.0
5.060 0.000 0.000
0.000 5.060 0.000
0.000 0.000 4.481
K Si Tc Ge
1 2 1 1
Cartesian
0.000 0.000 0.000
0.000 2.530 0.000
2.530 0.000 0.000
0.000 0.000 2.240
2.530 2.530 2.240
```

The raw formation energy comes out at 2.73 eV/atom. For the total magnetic moment, the calculation gives 2.27 μB per formula unit. The mass density comes out at 3.85 Mg/m³. The value obtained for the density of states at the Fermi level is 3.55 states/eV/cell. The volume is 22.95 Å³/atom. The calculated total energy is -13.77 eV per atom.

***

Entry from the Alexandria database: a PBEsol-optimized structure of KSrGe2 (meta-GGA SCAN).

```
KSrGe2
1.0
0.000 3.802 3.802
3.802 0.000 3.802
3.802 3.802 0.000
K Sr Ge
1 1 2
Cartesian
0.000 0.000 0.000
3.802 3.802 3.802
1.901 1.901 1.901
5.702 5.702 5.702
```

For the total magnetic moment, the calculation gives 0.00 μB per formula unit. The mass density comes out at 4.11 Mg/m³. The calculation puts the formation energy at -0.02 eV per atom. The value obtained for the density of states at the Fermi level is 2.14 states/eV/cell. The volume is 27.47 Å³/atom. The calculated total energy is -17.22 eV per atom.